Record 1
Below is crystalline Nb4OsW at its relaxed geometry, with properties calculated at the PBE level.

Values from the calculation:
The space group is No. 123. Its energy above the most stable polymorph in this dataset is 585 meV/atom.

Cell: 4.393 4.393 6.307 Å, 90.00 90.00 90.00°
Fractional coordinates of all 6 atoms:
Nb 0.000 0.500 0.248
Nb 0.000 0.500 0.752
Nb 0.500 0.000 0.248
Nb 0.500 0.000 0.752
Os 0.000 0.000 0.000
W 0.500 0.500 0.500

Record 2
Below is crystalline Nb6OsW3 at its relaxed geometry, with properties calculated at the PBE level.

Values from the calculation:
The space group is No. 11.

Cell: 7.956 4.588 9.732 Å, 90.00 105.86 90.00°
Fractional coordinates of all 20 atoms:
Nb 0.047 0.250 0.399
Nb 0.147 0.750 0.196
Nb 0.253 0.250 0.998
Nb 0.350 0.250 0.299
Nb 0.350 0.750 0.803
Nb 0.448 0.250 0.603
Nb 0.552 0.750 0.397
Nb 0.650 0.250 0.197
Nb 0.650 0.750 0.701
Nb 0.747 0.750 0.002
Nb 0.853 0.250 0.804
Nb 0.953 0.750 0.601
Os 0.450 0.750 0.099
Os 0.550 0.250 0.901
W 0.050 0.750 0.900
W 0.151 0.250 0.701
W 0.251 0.750 0.500
W 0.749 0.250 0.500
W 0.849 0.750 0.299
W 0.950 0.250 0.100

no.,formation energy from the elements (kJ/mol of atoms),DOS at the Fermi energy (states/eV per atom),final energy (eV/cell)
1,40.5,1.005,-61.9
2,-12.4,0.533,-223.6